Compound: CaZrCr
Source: the Alexandria database
Functional: GGA-PBE
Structure: relaxed

abc: 3.3152 3.3152 7.6384
angles: 90.00 90.00 120.00
Last column: nearest neighbours and their distance in Å.
Space group P3m1 (No. 156)
Symmetry-distinct sites (fractional):
Ca 0.0000 0.0000 0.0000 [1 per cell]  3 Cr 3.22, 6 Ca 3.32, 3 Zr 3.56
Zr 0.3333 0.6667 0.6077 [1 per cell]  3 Cr 2.81
Cr 0.6667 0.3333 0.3384 [1 per cell]  3 Zr 2.81

## Properties
- ΔE to the lowest computed polymorph: 186.5 meV per atom
- Mass density: 4186 kg/m3
- Size of the total moment: 1.11 μB per atom
- Formation enthalpy at 0 K: 626.2 meV per atom



Compound: UTaV2
Source: the Alexandria database
Functional: GGA-PBE
Structure: relaxed

abc: 3.2049 3.2049 6.4048
angles: 90.00 90.00 90.00
Last column: nearest neighbours and their distance in Å.
Space group P4/mmm (No. 123)
Symmetry-distinct sites (fractional):
U 0.0000 0.0000 0.0000 [1 per cell]  8 V 2.74
Ta 0.0000 0.0000 0.5000 [1 per cell]  8 V 2.81
V 0.5000 0.5000 0.2404 [2 per cell]  4 U 2.74, 4 Ta 2.81

## Properties
- ΔE to the lowest computed polymorph: 37.8 meV per atom
- Mass density: 13147 kg/m3
- Size of the total moment: 0.01 μB per atom
- Formation enthalpy at 0 K: 204.9 meV per atom



Compound: MgBeO2
Source: the Alexandria database
Functional: GGA-PBE
Structure: relaxed

abc: 3.0963 3.0963 15.0709
angles: 90.00 90.00 120.00
Last column: nearest neighbours and their distance in Å.
Space group R-3m (No. 166, hexagonal axes)
Symmetry-distinct sites (fractional):
Mg 0.0000 0.0000 0.0000 [3 per cell]  6 O 2.09
Be 0.0000 0.0000 0.5000 [3 per cell]  2 O 1.43
O 0.0000 0.0000 0.4054 [6 per cell]  1 Be 1.43

## Properties
- Mass density: 2600 kg/m3
- VASP energy: -6.229 eV per atom
- Size of the total moment: 0.00 μB per atom



Compound: Mg2Tc3
Source: the Alexandria database
Functional: GGA-PBE
Structure: relaxed

abc: 9.2679 14.3847 5.0818
angles: 90.00 90.00 90.00
Last column: nearest neighbours and their distance in Å.
Space group Fdd2 (No. 43)
Symmetry-distinct sites (fractional):
Mg 0.0443 0.2010 0.0000 [16 per cell]  9 Tc 2.72-3.01, 2 Mg 3.02
Tc 0.0000 0.0000 0.1420 [8 per cell]  2 Tc 2.35
Tc 0.0363 0.1045 0.4904 [16 per cell]  1 Tc 2.35

## Properties
- ΔE to the lowest computed polymorph: 209.0 meV per atom
- Mass density: 6718 kg/m3
- Size of the total moment: 0.00 μB per atom
- Formation enthalpy at 0 K: 341.1 meV per atom



Compound: MgBrCl
Source: the Alexandria database
Functional: GGA-PBE
Structure: relaxed

abc: 6.8437 6.8437 6.8437
angles: 90.00 90.00 90.00
Last column: nearest neighbours and their distance in Å.
Space group F-43m (No. 216)
Symmetry-distinct sites (fractional):
Mg 0.0000 0.0000 0.0000 [4 per cell]  4 Br 2.96
Br 0.2500 0.2500 0.7500 [4 per cell]  4 Cl 2.96, 4 Mg 2.96
Cl 0.0000 0.0000 0.5000 [4 per cell]  4 Br 2.96

## Properties
- ΔE to the lowest computed polymorph: 1030.9 meV per atom
- Mass density: 2894 kg/m3
- Size of the total moment: 0.00 μB per atom



Compound: GaCo3Ru
Source: the Alexandria database
Functional: GGA-PBE
Structure: relaxed

abc: 4.2579 4.2579 4.2579
angles: 90.00 90.00 90.00
Last column: nearest neighbours and their distance in Å.
Space group Pm-3m (No. 221)
Symmetry-distinct sites (fractional):
Ga 0.0000 0.0000 0.0000 [1 per cell]  6 Co 2.13
Co 0.0000 0.0000 0.5000 [3 per cell]  2 Ga 2.13
Ru 0.5000 0.5000 0.5000 [1 per cell]  12 Co 3.01

## Properties
- ΔE to the lowest computed polymorph: 0.0 meV per atom
- Mass density: 7477 kg/m3
- Size of the total moment: 1.30 μB per atom
- Formation enthalpy at 0 K: 1217.0 meV per atom